1.
Entry from OQMD via LeMat-Bulk: a relaxed structure of Y2FeB6 (GGA-PBE).

Cell: 9.1020 11.4608 3.5603 Å, 90.00 90.00 90.00°
Last column: nearest neighbours and their distance in Å.
Space group Pbam (No. 55)
Symmetry-distinct sites (fractional):
Y: 0.0571 0.1292 0.0000 (multiplicity 4)  12 B 2.56-2.61, 2 Fe 2.83
Y: 0.1754 0.4143 0.0000 (multiplicity 4)  14 B 2.69-2.75
Fe: 0.1381 0.6791 0.0000 (multiplicity 4)  10 B 2.28-2.36
B: 0.0136 0.2883 0.5000 (multiplicity 4)  3 B 1.76-1.91
B: 0.0541 0.5682 0.5000 (multiplicity 4)  3 B 1.75-1.85
B: 0.1108 0.9696 0.5000 (multiplicity 4)  2 B 1.80-1.83
B: 0.1325 0.8139 0.5000 (multiplicity 4)  3 B 1.70-1.80
B: 0.2112 0.2334 0.5000 (multiplicity 4)  2 B 1.70-1.78
B: 0.2457 0.5816 0.5000 (multiplicity 4)  3 B 1.75-1.83

Summary:
crystal system	orthorhombic
calculated volume	371	Å³ per cell

2.
Entry from OQMD via LeMat-Bulk: a relaxed structure of YZnFeB (GGA-PBE).

Cell: 6.1722 6.1722 6.1722 Å, 90.00 90.00 90.00°
Last column: nearest neighbours and their distance in Å.
Space group F-43m (No. 216)
Symmetry-distinct sites (fractional):
Y: 0.0000 0.0000 0.0000 (multiplicity 4)  4 Fe 2.67, 4 Zn 2.67
Zn: 0.2500 0.2500 0.2500 (multiplicity 4)  4 B 2.67, 4 Y 2.67
Fe: 0.2500 0.2500 0.7500 (multiplicity 4)  4 B 2.67, 4 Y 2.67
B: 0.0000 0.0000 0.5000 (multiplicity 4)  4 Zn 2.67, 4 Fe 2.67

Summary:
crystal system	cubic
calculated volume	235	Å³ per cell

3.
Entry from OQMD via LeMat-Bulk: a relaxed structure of YZnFeB (GGA-PBE).

Cell: 6.1965 6.1965 6.1965 Å, 90.00 90.00 90.00°
Last column: nearest neighbours and their distance in Å.
Space group F-43m (No. 216)
Symmetry-distinct sites (fractional):
Y: 0.0000 0.0000 0.0000 (multiplicity 4)  4 B 2.68, 4 Zn 2.68
Zn: 0.2500 0.2500 0.7500 (multiplicity 4)  4 Fe 2.68, 4 Y 2.68
Fe: 0.0000 0.0000 0.5000 (multiplicity 4)  4 Zn 2.68, 4 B 2.68
B: 0.2500 0.2500 0.2500 (multiplicity 4)  4 Fe 2.68, 4 Y 2.68

Summary:
crystal system	cubic
calculated volume	238	Å³ per cell

4.
Entry from OQMD via LeMat-Bulk: a relaxed structure of ZnFeB4 (GGA-PBE).

Cell: 2.9759 2.9759 6.7296 Å, 90.00 90.00 120.00°
Last column: nearest neighbours and their distance in Å.
Space group P6/mmm (No. 191)
Symmetry-distinct sites (fractional):
Zn: 0.0000 0.0000 0.0000 (multiplicity 1)  12 B 2.50
Fe: 0.0000 0.0000 0.5000 (multiplicity 1)  12 B 2.32
B: 0.3333 0.6667 0.2693 (multiplicity 4)  3 B 1.72

Summary:
crystal system	hexagonal
calculated volume	52	Å³ per cell

5.
Entry from OQMD via LeMat-Bulk: a relaxed structure of Zn2FeB (GGA-PBE).

Cell: 5.5874 5.5874 5.5874 Å, 90.00 90.00 90.00°
Last column: nearest neighbours and their distance in Å.
Space group F-43m (No. 216)
Symmetry-distinct sites (fractional):
Zn: 0.0000 0.0000 0.0000 (multiplicity 4)  4 Fe 2.42, 4 Zn 2.42
Zn: 0.2500 0.2500 0.2500 (multiplicity 4)  4 B 2.42, 4 Zn 2.42
Fe: 0.2500 0.2500 0.7500 (multiplicity 4)  4 B 2.42, 4 Zn 2.42
B: 0.0000 0.0000 0.5000 (multiplicity 4)  4 Fe 2.42, 4 Zn 2.42

Summary:
crystal system	cubic
calculated volume	174	Å³ per cell

6.
Entry from OQMD via LeMat-Bulk: a relaxed structure of ZnFeB (GGA-PBE).

Cell: 5.1902 5.1902 5.1902 Å, 90.00 90.00 90.00°
Last column: nearest neighbours and their distance in Å.
Space group F-43m (No. 216)
Symmetry-distinct sites (fractional):
Zn: 0.0000 0.0000 0.0000 (multiplicity 4)  4 Fe 2.25
Fe: 0.2500 0.2500 0.7500 (multiplicity 4)  4 B 2.25, 4 Zn 2.25
B: 0.0000 0.0000 0.5000 (multiplicity 4)  4 Fe 2.25

Summary:
crystal system	cubic
calculated volume	140	Å³ per cell

no.,VASP energy (eV per atom)
1,-7.407
2,-5.011
3,-5.363
4,-5.885
5,-3.819
6,-4.624